Pm8Si3OsI4, optimized geometry, DFT PBE; crystal system = trigonal; DOS at the Fermi energy = 11.3 states/eV/cell; raw formation energy = -0.83 eV/atom
1.0
8.5929 0.0000 0.0000
0.0000 9.1880 0.4174
-4.2964 -4.2977 6.0773
Pm Si Os I
8 3 1 4
Cartesian
-2.2298 2.1868 6.1614
0.0000 4.4171 3.0108
0.0000 0.4843 3.3797
2.2298 2.1868 6.1614
2.0666 2.7034 0.3334
4.2964 4.4059 3.1150
4.2964 0.4732 3.4840
6.5262 2.7034 0.3334
4.2964 4.5940 0.2087
2.1482 2.4451 3.2474
-2.1482 2.4451 3.2474
0.0000 4.5940 0.2087
4.2964 0.0000 0.0000
2.1482 -2.1489 3.0386
0.0000 0.0000 0.0000
-2.1482 -2.1489 3.0386